1.
# AcHoTe3

An optimized crystal structure of AcHoTe3 (PBE, the Alexandria database).

Structure (CIF):
```
data_AcHoTe3
_chemical_formula_sum 'Ac4 Ho4 Te12'
_cell_length_a 8.469
_cell_length_b 4.598
_cell_length_c 17.569
_cell_angle_alpha 90.00
_cell_angle_beta 90.00
_cell_angle_gamma 90.00
_symmetry_space_group_name_H-M 'P n m a'
_symmetry_Int_Tables_number 62
_symmetry_space_group_name_Hall '-P 2ac 2n'
loop_
_atom_site_label
_atom_site_fract_x
_atom_site_fract_y
_atom_site_fract_z
Ac1 0.139 0.250 0.197
Ho1 0.227 0.750 0.458
Te1 0.010 0.250 0.397
Te2 0.123 0.750 0.056
Te3 0.156 0.250 0.788
```

Output
The raw formation energy comes out at -1.4832 eV/atom. The distance to the lowest polymorph of the same formula comes out at 0.025 eV/atom.

---

2.
# CdIn2I5

An optimized crystal structure of CdIn2I5 (PBE, the Alexandria database).

Structure (CIF):
```
data_CdIn2I5
_chemical_formula_sum 'Cd4 In8 I20'
_cell_length_a 4.618
_cell_length_b 19.406
_cell_length_c 17.588
_cell_angle_alpha 90.00
_cell_angle_beta 90.00
_cell_angle_gamma 90.00
_symmetry_space_group_name_H-M 'C m c m'
_symmetry_Int_Tables_number 63
_symmetry_space_group_name_Hall '-C 2c 2'
loop_
_atom_site_label
_atom_site_fract_x
_atom_site_fract_y
_atom_site_fract_z
Cd1 0.000 0.109 0.250
In1 0.000 0.115 0.663
I1 0.000 0.035 0.113
I2 0.000 0.302 0.750
I3 0.000 0.333 0.072
```

Output
The raw formation energy comes out at -0.4500 eV/atom. The distance to the lowest polymorph of the same formula comes out at 0.000 eV/atom.

---

3.
# HfBeZn

An optimized crystal structure of HfBeZn (PBE, the Alexandria database).

Structure (CIF):
```
data_HfBeZn
_chemical_formula_sum 'Hf2 Be2 Zn2'
_cell_length_a 2.901
_cell_length_b 2.901
_cell_length_c 10.562
_cell_angle_alpha 90.00
_cell_angle_beta 90.00
_cell_angle_gamma 90.00
_symmetry_space_group_name_H-M 'I 4 m m'
_symmetry_Int_Tables_number 107
_symmetry_space_group_name_Hall 'I 4 -2'
loop_
_atom_site_label
_atom_site_fract_x
_atom_site_fract_y
_atom_site_fract_z
Hf1 0.000 0.000 0.000
Be1 0.000 0.000 0.331
Zn1 0.000 0.000 0.704
```

Output
The distance to the lowest polymorph of the same formula comes out at 0.192 eV/atom. As for the energy of formation: -0.04 eV/atom.

---

4.
# Re2PtRh

An optimized crystal structure of Re2PtRh (PBE, the Alexandria database).

Structure (CIF):
```
data_Re2PtRh
_chemical_formula_sum 'Re2 Pt1 Rh1'
_cell_length_a 2.712
_cell_length_b 4.024
_cell_length_c 5.435
_cell_angle_alpha 90.00
_cell_angle_beta 90.00
_cell_angle_gamma 90.00
_symmetry_space_group_name_H-M 'P m m m'
_symmetry_Int_Tables_number 47
_symmetry_space_group_name_Hall '-P 2 2'
loop_
_atom_site_label
_atom_site_fract_x
_atom_site_fract_y
_atom_site_fract_z
Re1 0.000 0.000 0.236
Pt1 0.500 0.500 0.500
Rh1 0.500 0.500 0.000
```

Output
The distance to the lowest polymorph of the same formula comes out at 0.088 eV/atom. As for the energy of formation: -0.03 eV/atom.

---

5.
# VCu3Pt7

An optimized crystal structure of VCu3Pt7 (PBE, the Alexandria database).

Structure (CIF):
```
data_VCu3Pt7
_chemical_formula_sum 'V2 Cu6 Pt14'
_cell_length_a 8.855
_cell_length_b 9.091
_cell_length_c 4.844
_cell_angle_alpha 90.00
_cell_angle_beta 116.19
_cell_angle_gamma 90.00
_symmetry_space_group_name_H-M 'C 1 2/m 1'
_symmetry_Int_Tables_number 12
_symmetry_space_group_name_Hall '-C 2y'
loop_
_atom_site_label
_atom_site_fract_x
_atom_site_fract_y
_atom_site_fract_z
V1 0.000 0.000 0.000
Cu1 0.000 0.280 0.500
Cu2 0.000 0.500 0.000
Pt1 0.000 0.000 0.500
Pt2 0.167 0.255 0.169
Pt3 0.198 0.500 0.560
```

Output
As for the energy of formation: 0.06 eV/atom.

---

6.
# Cr2Pd6Pt

An optimized crystal structure of Cr2Pd6Pt (PBE, the Alexandria database).

Structure (CIF):
```
data_Cr2Pd6Pt
_chemical_formula_sum 'Cr8 Pd24 Pt4'
_cell_length_a 3.954
_cell_length_b 11.476
_cell_length_c 11.916
_cell_angle_alpha 90.00
_cell_angle_beta 90.00
_cell_angle_gamma 90.00
_symmetry_space_group_name_H-M 'F m m m'
_symmetry_Int_Tables_number 69
_symmetry_space_group_name_Hall '-F 2 2'
loop_
_atom_site_label
_atom_site_fract_x
_atom_site_fract_y
_atom_site_fract_z
Cr1 0.000 0.000 0.157
Pd1 0.000 0.159 0.329
Pd2 0.000 0.166 0.000
Pt1 0.000 0.000 0.500
```

Output
As for the energy of formation: -0.09 eV/atom.

---

7.
# HgICl

An optimized crystal structure of HgICl (PBE, the Alexandria database).

Structure (CIF):
```
data_HgICl
_chemical_formula_sum 'Hg1 I1 Cl1'
_cell_length_a 4.2188
_cell_length_b 4.2188
_cell_length_c 6.7030
_cell_angle_alpha 90.00
_cell_angle_beta 90.00
_cell_angle_gamma 120.00
_symmetry_space_group_name_H-M 'P 3 m 1'
_symmetry_Int_Tables_number 156
_symmetry_space_group_name_Hall 'P 3 -2"'
loop_
_atom_site_label
_atom_site_fract_x
_atom_site_fract_y
_atom_site_fract_z
Hg1 0.0000 0.0000 0.0000
I1 0.3333 0.6667 0.7389
Cl1 0.6667 0.3333 0.2117
```

Output
The raw formation energy comes out at -0.3662 eV/atom.

---

8.
# NbTe2Br

An optimized crystal structure of NbTe2Br (PBE, the Alexandria database).

Structure (CIF):
```
data_NbTe2Br
_chemical_formula_sum 'Nb2 Te4 Br2'
_cell_length_a 20.378
_cell_length_b 3.385
_cell_length_c 3.352
_cell_angle_alpha 90.00
_cell_angle_beta 90.56
_cell_angle_gamma 90.00
_symmetry_space_group_name_H-M 'C 1 m 1'
_symmetry_Int_Tables_number 8
_symmetry_space_group_name_Hall 'C -2y'
loop_
_atom_site_label
_atom_site_fract_x
_atom_site_fract_y
_atom_site_fract_z
Nb1 0.000 0.000 0.000
Te1 0.274 0.500 0.986
Te2 0.424 0.000 0.495
Br1 0.098 0.000 0.506
```

Output
The raw formation energy comes out at -0.2309 eV/atom. The distance to the lowest polymorph of the same formula comes out at 0.073 eV/atom.

---

9.
# CdTeAs2

An optimized crystal structure of CdTeAs2 (PBE, the Alexandria database).

Structure (CIF):
```
data_CdTeAs2
_chemical_formula_sum 'Cd1 Te1 As2'
_cell_length_a 4.000
_cell_length_b 4.000
_cell_length_c 6.080
_cell_angle_alpha 90.00
_cell_angle_beta 90.00
_cell_angle_gamma 90.00
_symmetry_space_group_name_H-M 'P 4/m m m'
_symmetry_Int_Tables_number 123
_symmetry_space_group_name_Hall '-P 4 2'
loop_
_atom_site_label
_atom_site_fract_x
_atom_site_fract_y
_atom_site_fract_z
Cd1 0.000 0.000 0.000
Te1 0.000 0.000 0.500
As1 0.500 0.500 0.203
```

Output
The raw formation energy comes out at 0.2916 eV/atom. The distance to the lowest polymorph of the same formula comes out at 0.348 eV/atom.

---

10.
# Y2CdTc

An optimized crystal structure of Y2CdTc (PBE, the Alexandria database).

Structure (CIF):
```
data_Y2CdTc
_chemical_formula_sum 'Y2 Cd1 Tc1'
_cell_length_a 4.973
_cell_length_b 4.973
_cell_length_c 3.706
_cell_angle_alpha 90.00
_cell_angle_beta 90.00
_cell_angle_gamma 90.00
_symmetry_space_group_name_H-M 'P 4/m m m'
_symmetry_Int_Tables_number 123
_symmetry_space_group_name_Hall '-P 4 2'
loop_
_atom_site_label
_atom_site_fract_x
_atom_site_fract_y
_atom_site_fract_z
Y1 0.000 0.500 0.000
Cd1 0.000 0.000 0.500
Tc1 0.500 0.500 0.500
```

Output
As for the energy of formation: -0.04 eV/atom.

---

11.
# BaSnPbCl6

An optimized crystal structure of BaSnPbCl6 (PBE, the Alexandria database).

Structure (CIF):
```
data_BaSnPbCl6
_chemical_formula_sum 'Ba2 Sn2 Pb2 Cl12'
_cell_length_a 6.885
_cell_length_b 6.885
_cell_length_c 13.616
_cell_angle_alpha 90.00
_cell_angle_beta 90.00
_cell_angle_gamma 90.00
_symmetry_space_group_name_H-M 'P 42 n m'
_symmetry_Int_Tables_number 102
_symmetry_space_group_name_Hall 'P 4n -2n'
loop_
_atom_site_label
_atom_site_fract_x
_atom_site_fract_y
_atom_site_fract_z
Ba1 0.000 0.000 0.000
Sn1 0.000 0.000 0.332
Pb1 0.000 0.000 0.668
Cl1 0.185 0.185 0.498
Cl2 0.199 0.199 0.177
Cl3 0.204 0.204 0.825
```

Output
The raw formation energy comes out at -1.5413 eV/atom.

---

12.
# Pr9SmSn2

An optimized crystal structure of Pr9SmSn2 (PBE, the Alexandria database).

Structure (CIF):
```
data_Pr9SmSn2
_chemical_formula_sum 'Pr9 Sm1 Sn2'
_cell_length_a 5.028
_cell_length_b 5.028
_cell_length_c 15.508
_cell_angle_alpha 90.00
_cell_angle_beta 90.00
_cell_angle_gamma 90.00
_symmetry_space_group_name_H-M 'P 4/m m m'
_symmetry_Int_Tables_number 123
_symmetry_space_group_name_Hall '-P 4 2'
loop_
_atom_site_label
_atom_site_fract_x
_atom_site_fract_y
_atom_site_fract_z
Pr1 0.000 0.000 0.000
Pr2 0.000 0.000 0.340
Pr3 0.000 0.500 0.177
Pr4 0.000 0.500 0.500
Sm1 0.500 0.500 0.000
Sn1 0.500 0.500 0.338
```

Output
As for the energy of formation: -0.28 eV/atom.